{
  "formula": "YBr3O",
  "functional": "PBE",
  "state": "relaxed",
  "lattice_angstrom": [[4.820, 0.000, 0.000], [0.000, 4.820, 0.000], [0.000, 0.000, 4.820]],
  "species": ["Y", "O", "Br", "Br", "Br"],
  "frac_coords": [[0.500, 0.500, 0.500], [0.000, 0.000, 0.000], [0.000, 0.500, 0.000], [0.000, 0.000, 0.500], [0.500, 0.000, 0.000]],
  "e_tot_ev_per_atom": -3.51,
  "m_tot_mub_per_fu": 0.0,
  "polymorph_energy_mev_per_atom": 545,
  "crystal_system": "cubic",
  "formation_energy_uncorrected_ev_per_fu": -1.11,
  "spacegroup": "Pm-3m",
  "vol_a3_per_cell": 111.9
}